DFT (PBE) results for Tb3Tm4In after structural relaxation.

Values from the calculation:
**Theoretical density**: 8.89 g/cm³
**Energy above the most stable polymorph in this dataset**: 2 meV per atom
**Final energy**: -4.4270 eV per atom
**Crystal system**: triclinic
**Formation enthalpy at 0 K**: -10.9 kJ per mole of atoms

Cell and atoms, written as CIF:
```
data_Tb3Tm4In
_cell_length_a 7.005
_cell_length_b 12.687
_cell_length_c 7.018
_cell_angle_alpha 114.60
_cell_angle_beta 59.87
_cell_angle_gamma 114.59
_space_group_name_H-M_alt 'P 1'
_space_group_IT_number 1
loop_
_space_group_symop_operation_xyz
'x,y,z'
loop_
_atom_site_label
_atom_site_fract_x
_atom_site_fract_y
_atom_site_fract_z
Tm1 0.081 0.370 0.268
Tm2 0.297 0.121 0.968
Tm3 0.346 0.879 0.019
Tm4 0.076 0.366 0.770
Tm5 0.835 0.879 0.531
Tm6 0.543 0.633 0.238
Tm7 0.785 0.121 0.480
Tm8 0.539 0.623 0.728
In1 0.792 0.121 0.975
In2 0.340 0.879 0.524
Tb1 0.046 0.628 0.233
Tb2 0.833 0.879 0.016
Tb3 0.050 0.631 0.729
Tb4 0.586 0.380 0.776
Tb5 0.299 0.120 0.481
Tb6 0.583 0.369 0.265
```

---

DFT (PBE) results for TlPAuCl2 after structural relaxation.

Values from the calculation:
**Theoretical density**: 5.99 g/cm³
**Energy above the most stable polymorph in this dataset**: 0 meV per atom
**Final energy**: -2.9409 eV per atom
**Crystal system**: tetragonal
**Formation energy from raw total energies**: 0.01 eV per atom

Cell and atoms, written as CIF:
```
data_TlPAuCl2
_cell_length_a 5.412
_cell_length_b 5.412
_cell_length_c 4.760
_cell_angle_alpha 90.00
_cell_angle_beta 90.00
_cell_angle_gamma 90.00
_space_group_name_H-M_alt 'P 1'
_space_group_IT_number 1
loop_
_space_group_symop_operation_xyz
'x,y,z'
loop_
_atom_site_label
_atom_site_fract_x
_atom_site_fract_y
_atom_site_fract_z
Cl1 0.000 0.500 0.000
Cl2 0.500 0.000 0.000
P1 0.000 0.000 0.500
Au1 0.000 0.000 0.000
Tl1 0.500 0.500 0.500
```

---

DFT (PBE) results for CoPdRh2C after structural relaxation.

Values from the calculation:
**Theoretical density**: 10.03 g/cm³
**Energy above the most stable polymorph in this dataset**: 0 meV per atom
**Final energy**: -7.0213 eV per atom
**Crystal system**: tetragonal
**Formation enthalpy at 0 K**: 21.6 kJ per mole of atoms

Cell and atoms, written as CIF:
```
data_CoPdRh2C
_cell_length_a 4.060
_cell_length_b 4.060
_cell_length_c 3.847
_cell_angle_alpha 90.00
_cell_angle_beta 90.00
_cell_angle_gamma 90.00
_space_group_name_H-M_alt 'P 1'
_space_group_IT_number 1
loop_
_space_group_symop_operation_xyz
'x,y,z'
loop_
_atom_site_label
_atom_site_fract_x
_atom_site_fract_y
_atom_site_fract_z
Pd1 0.500 0.500 0.500
Rh1 0.000 0.500 0.000
Rh2 0.500 0.000 0.000
C1 0.000 0.000 0.000
Co1 0.000 0.000 0.500
```

---

DFT (PBE) results for Hf3TiAl2 after structural relaxation.

Values from the calculation:
**Theoretical density**: 9.23 g/cm³
**Final energy**: -7.8001 eV per atom
**Crystal system**: orthorhombic
**Formation enthalpy at 0 K**: -25.1 kJ per mole of atoms

Cell and atoms, written as CIF:
```
data_Hf3TiAl2
_cell_length_a 4.326
_cell_length_b 8.007
_cell_length_c 8.034
_cell_angle_alpha 119.89
_cell_angle_beta 105.62
_cell_angle_gamma 90.00
_space_group_name_H-M_alt 'P 1'
_space_group_IT_number 1
loop_
_space_group_symop_operation_xyz
'x,y,z'
loop_
_atom_site_label
_atom_site_fract_x
_atom_site_fract_y
_atom_site_fract_z
Hf1 0.500 0.750 0.000
Hf2 0.169 0.419 0.338
Hf3 0.169 0.919 0.338
Hf4 0.500 0.250 0.000
Hf5 0.831 0.081 0.662
Hf6 0.831 0.581 0.662
Al1 0.661 0.661 0.322
Al2 0.339 0.339 0.678
Al3 0.661 0.161 0.322
Al4 0.339 0.839 0.678
Ti1 0.000 0.000 0.000
Ti2 0.000 0.500 0.000
```

---

DFT (PBE) results for NpSi4Ir2Rh after structural relaxation.

Values from the calculation:
**Theoretical density**: 11.21 g/cm³
**Final energy**: -7.9965 eV per atom
**Crystal system**: trigonal
**Formation energy from raw total energies**: -0.53 eV per atom

Cell and atoms, written as CIF:
```
data_NpSi4Ir2Rh
_cell_length_a 4.143
_cell_length_b 4.143
_cell_length_c 8.674
_cell_angle_alpha 76.18
_cell_angle_beta 76.18
_cell_angle_gamma 60.00
_space_group_name_H-M_alt 'P 1'
_space_group_IT_number 1
loop_
_space_group_symop_operation_xyz
'x,y,z'
loop_
_atom_site_label
_atom_site_fract_x
_atom_site_fract_y
_atom_site_fract_z
Np1 0.000 0.000 0.000
Si1 0.125 0.125 0.624
Si2 0.603 0.603 0.190
Si3 0.397 0.397 0.810
Si4 0.875 0.875 0.376
Ir1 0.770 0.770 0.690
Ir2 0.230 0.230 0.310
Rh1 0.500 0.500 0.500
```

---

DFT (PBE) results for PrEr2Zn after structural relaxation.

Values from the calculation:
**Theoretical density**: 8.07 g/cm³
**Energy above the most stable polymorph in this dataset**: 0 meV per atom
**Final energy**: -3.9603 eV per atom
**Crystal system**: tetragonal
**Formation enthalpy at 0 K**: -16.0 kJ per mole of atoms

Cell and atoms, written as CIF:
```
data_PrEr2Zn
_cell_length_a 3.567
_cell_length_b 3.567
_cell_length_c 8.748
_cell_angle_alpha 90.00
_cell_angle_beta 90.00
_cell_angle_gamma 90.00
_space_group_name_H-M_alt 'P 1'
_space_group_IT_number 1
loop_
_space_group_symop_operation_xyz
'x,y,z'
loop_
_atom_site_label
_atom_site_fract_x
_atom_site_fract_y
_atom_site_fract_z
Zn1 0.500 0.500 0.000
Er1 0.000 0.000 0.200
Er2 0.000 0.000 0.800
Pr1 0.500 0.500 0.500
```

---

DFT (PBE) results for Rb5Tc3S7 after structural relaxation.

Values from the calculation:
**Theoretical density**: 3.53 g/cm³
**Final energy**: -5.2285 eV per atom
**Crystal system**: monoclinic
**Formation energy from raw total energies**: -0.91 eV per atom

Cell and atoms, written as CIF:
```
data_Rb5Tc3S7
_cell_length_a 10.772
_cell_length_b 10.772
_cell_length_c 10.943
_cell_angle_alpha 59.52
_cell_angle_beta 59.52
_cell_angle_gamma 59.70
_space_group_name_H-M_alt 'P 1'
_space_group_IT_number 1
loop_
_space_group_symop_operation_xyz
'x,y,z'
loop_
_atom_site_label
_atom_site_fract_x
_atom_site_fract_y
_atom_site_fract_z
S1 0.790 0.199 0.236
S2 0.791 0.200 0.770
S3 0.199 0.790 0.236
S4 0.386 0.386 0.390
S5 0.390 0.837 0.384
S6 0.785 0.785 0.211
S7 0.200 0.791 0.770
S8 0.837 0.390 0.384
S9 0.611 0.159 0.614
S10 0.215 0.215 0.784
S11 0.159 0.611 0.614
S12 0.611 0.611 0.609
S13 0.386 0.386 0.834
S14 0.610 0.610 0.165
Rb1 0.027 0.027 0.468
Rb2 0.844 0.844 0.875
Rb3 0.842 0.842 0.431
Rb4 0.583 0.198 0.107
Rb5 0.412 0.995 0.585
Rb6 0.993 0.412 0.006
Rb7 0.010 0.010 0.988
Rb8 0.198 0.583 0.107
Rb9 0.412 0.993 0.006
Rb10 0.995 0.412 0.585
Tc1 0.374 0.622 0.380
Tc2 0.622 0.622 0.376
Tc3 0.622 0.374 0.380
Tc4 0.375 0.375 0.623
Tc5 0.623 0.374 0.620
Tc6 0.374 0.623 0.620
```

---

DFT (PBE) results for Cd6Ag3Pd2 after structural relaxation.

Values from the calculation:
**Theoretical density**: 8.49 g/cm³
**Final energy**: -2.2043 eV per atom
**Crystal system**: tetragonal
**Formation enthalpy at 0 K**: 1.6 kJ per mole of atoms

Cell and atoms, written as CIF:
```
data_Cd6Ag3Pd2
_cell_length_a 4.086
_cell_length_b 4.086
_cell_length_c 14.476
_cell_angle_alpha 98.11
_cell_angle_beta 98.11
_cell_angle_gamma 90.00
_space_group_name_H-M_alt 'P 1'
_space_group_IT_number 1
loop_
_space_group_symop_operation_xyz
'x,y,z'
loop_
_atom_site_label
_atom_site_fract_x
_atom_site_fract_y
_atom_site_fract_z
Ag1 0.000 0.000 0.000
Ag2 0.163 0.163 0.326
Ag3 0.837 0.837 0.674
Cd1 0.734 0.734 0.469
Cd2 0.074 0.574 0.148
Cd3 0.266 0.266 0.531
Cd4 0.926 0.426 0.852
Cd5 0.426 0.926 0.852
Cd6 0.574 0.074 0.148
Pd1 0.641 0.641 0.282
Pd2 0.359 0.359 0.718
```

---

DFT (PBE) results for LiLa2Cd2 after structural relaxation.

Values from the calculation:
**Theoretical density**: 5.91 g/cm³
**Energy above the most stable polymorph in this dataset**: 108 meV per atom
**Final energy**: -2.8144 eV per atom
**Crystal system**: orthorhombic
**Formation enthalpy at 0 K**: -9.1 kJ per mole of atoms

Cell and atoms, written as CIF:
```
data_LiLa2Cd2
_cell_length_a 5.953
_cell_length_b 6.773
_cell_length_c 8.412
_cell_angle_alpha 113.74
_cell_angle_beta 110.72
_cell_angle_gamma 90.00
_space_group_name_H-M_alt 'P 1'
_space_group_IT_number 1
loop_
_space_group_symop_operation_xyz
'x,y,z'
loop_
_atom_site_label
_atom_site_fract_x
_atom_site_fract_y
_atom_site_fract_z
La1 0.377 0.025 0.754
La2 0.123 0.272 0.246
La3 0.877 0.728 0.754
La4 0.623 0.975 0.246
Cd1 0.853 0.207 0.706
Cd2 0.353 0.499 0.706
Cd3 0.147 0.793 0.294
Cd4 0.647 0.501 0.294
Li1 0.750 0.500 0.000
Li2 0.250 0.500 0.000
```

---

DFT (PBE) results for Te2SeS after structural relaxation.

Values from the calculation:
**Theoretical density**: 4.92 g/cm³
**Energy above the most stable polymorph in this dataset**: 0 meV per atom
**Final energy**: -3.3992 eV per atom
**Crystal system**: triclinic
**Formation energy from raw total energies**: 0.07 eV per atom

Cell and atoms, written as CIF:
```
data_Te2SeS
_cell_length_a 4.360
_cell_length_b 4.227
_cell_length_c 19.061
_cell_angle_alpha 114.79
_cell_angle_beta 98.90
_cell_angle_gamma 119.44
_space_group_name_H-M_alt 'P 1'
_space_group_IT_number 1
loop_
_space_group_symop_operation_xyz
'x,y,z'
loop_
_atom_site_label
_atom_site_fract_x
_atom_site_fract_y
_atom_site_fract_z
S1 0.389 0.719 0.878
S2 0.148 0.108 0.094
Se1 0.868 0.385 0.299
Se2 0.667 0.496 0.673
Te1 0.669 0.680 0.547
Te2 0.831 0.585 0.179
Te3 0.707 0.186 0.793
Te4 0.867 0.046 0.425
```

---

DFT (PBE) results for AlRh2Cl after structural relaxation.

Values from the calculation:
**Theoretical density**: 6.12 g/cm³
**Energy above the most stable polymorph in this dataset**: 235 meV per atom
**Final energy**: -5.2684 eV per atom
**Crystal system**: monoclinic
**Formation energy from raw total energies**: -0.20 eV per atom

Cell and atoms, written as CIF:
```
data_AlRh2Cl
_cell_length_a 3.539
_cell_length_b 2.878
_cell_length_c 7.284
_cell_angle_alpha 79.03
_cell_angle_beta 90.00
_cell_angle_gamma 90.00
_space_group_name_H-M_alt 'P 1'
_space_group_IT_number 1
loop_
_space_group_symop_operation_xyz
'x,y,z'
loop_
_atom_site_label
_atom_site_fract_x
_atom_site_fract_y
_atom_site_fract_z
Al1 0.000 0.619 0.396
Rh1 0.500 0.185 0.259
Rh2 0.000 0.796 0.029
Cl1 0.500 0.900 0.815
```

---

DFT (PBE) results for Y2TaW after structural relaxation.

Values from the calculation:
**Theoretical density**: 10.11 g/cm³
**Energy above the most stable polymorph in this dataset**: 491 meV per atom
**Final energy**: -8.7255 eV per atom
**Crystal system**: trigonal
**Formation enthalpy at 0 K**: 68.3 kJ per mole of atoms

Cell and atoms, written as CIF:
```
data_Y2TaW
_cell_length_a 10.622
_cell_length_b 10.622
_cell_length_c 10.622
_cell_angle_alpha 16.98
_cell_angle_beta 16.98
_cell_angle_gamma 16.98
_space_group_name_H-M_alt 'P 1'
_space_group_IT_number 1
loop_
_space_group_symop_operation_xyz
'x,y,z'
loop_
_atom_site_label
_atom_site_fract_x
_atom_site_fract_y
_atom_site_fract_z
W1 0.750 0.750 0.750
Y1 0.002 0.002 0.002
Y2 0.498 0.498 0.498
Ta1 0.250 0.250 0.250
```

---

Question: The highest final energy belongs to which entry?
Answer: Cd6Ag3Pd2